VASP calculation (GGA-PBE) on SnPdS4 after structural relaxation.

a b c (Å): 11.879 3.650 6.262
angles (deg): 90.00 99.70 90.00
Fractional coordinates of all 12 atoms:
Sn1 0.000 0.000 0.000
Sn2 0.500 0.500 0.000
Pd1 0.000 0.500 0.500
Pd2 0.500 0.000 0.500
S1 0.112 0.000 0.390
S2 0.121 0.500 0.853
S3 0.379 0.000 0.147
S4 0.388 0.500 0.610
S5 0.612 0.500 0.390
S6 0.621 0.000 0.853
S7 0.879 0.500 0.147
S8 0.888 0.000 0.610

Formation energy (no corrections) (meV per atom): -272
Relative energy among the computed polymorphs (meV per atom): 0
E (eV/f.u.): -27.3
Total magnetic moment (μB per formula unit): 0.00